Record 1
PBE LiAc2Ga4Ir3, relaxed; SG = P-4m2; total energy = -5.51 eV/atom
1.0
-3.922 -2.091 -0.424
2.113 -3.930 -0.162
-0.678 -0.781 10.120
Li Ac Ga Ir
1 2 4 3
Cartesian
-1.244 -3.401 4.767 Li
-2.131 -1.241 2.325 Ac
0.548 -2.550 7.502 Ac
-0.905 -3.010 -0.293 Ga
0.000 0.000 0.000 Ga
-2.381 -1.529 6.052 Ga
0.798 -2.262 3.775 Ga
-0.339 -0.390 5.060 Ir
-2.551 -1.724 8.587 Ir
0.968 -2.067 1.240 Ir

***

Record 2
PBE AcLuGaIr, relaxed; SG = F-43m; total energy = -5.59 eV/atom
1.0
5.150 0.000 0.000
2.575 4.460 0.000
2.575 1.487 4.205
Ac Ir Lu Ga
1 1 1 1
Cartesian
0.000 0.000 0.000 Ac
2.575 1.487 1.051 Ir
5.150 2.974 2.103 Lu
7.725 4.460 3.154 Ga

***

Record 3
PBE AcMgGa2Ir, relaxed; SG = Imm2; total energy = -4.67 eV/atom
1.0
-2.013 0.964 -3.775
0.279 -4.146 -1.207
-4.239 0.534 4.943
Ac Mg Ga Ir
1 1 2 1
Cartesian
-4.479 -0.927 2.152 Ac
-1.861 -2.487 0.357 Mg
-3.049 0.059 -0.906 Ga
-0.490 -0.101 0.235 Ga
-4.233 -2.288 -0.874 Ir

***

Record 4
PBE Ac2MgGa12Ir3, relaxed; SG = R-3m; total energy = -4.11 eV/atom
1.0
-2.757 6.815 -3.485
-8.100 0.399 0.648
-2.090 5.415 5.701
Ac Mg Ga Ir
2 1 12 3
Cartesian
-7.828 7.636 1.732 Ac
-5.119 4.993 1.132 Ac
0.000 0.000 0.000 Mg
-4.948 6.953 4.395 Ga
-10.158 8.219 -0.375 Ga
-9.825 7.518 4.223 Ga
-5.368 7.835 -1.392 Ga
-7.150 10.729 2.154 Ga
-8.734 3.794 1.212 Ga
-7.999 5.676 -1.530 Ga
-2.789 4.410 3.239 Ga
-3.122 5.111 -1.359 Ga
-7.579 4.794 4.256 Ga
-5.797 1.900 0.710 Ga
-4.214 8.835 1.652 Ga
-1.378 3.407 -1.743 Ir
-4.050 0.200 0.324 Ir
-1.045 2.707 2.851 Ir

***

Number 1: calculated formation energy -0.63 eV/atom. Number 2: calculated formation energy -0.46 eV/atom. Number 3: calculated formation energy -0.55 eV/atom. Number 4: calculated formation energy -0.07 eV/atom.